[1]
Material: LiSbHRh2
Method: DFT, GGA-PBE
State: relaxed

Cell lengths 4.059, 4.059, 3.749 Å; angles 90.00, 90.00, 90.00 degrees
Fractional positions:
Li1 0.000 0.000 0.000
Sb1 0.500 0.500 0.000
H1 0.000 0.000 0.500
Rh1 0.000 0.500 0.500
Rh2 0.500 0.000 0.500

***

[2]
Material: LiSbHRh2
Method: DFT, GGA-PBE
State: relaxed

Cell lengths 5.003, 5.003, 3.609 Å; angles 90.00, 90.00, 90.00 degrees
Fractional positions:
Li1 0.000 0.000 0.000
Sb1 0.500 0.500 0.500
H1 0.500 0.500 0.000
Rh1 0.000 0.500 0.500
Rh2 0.500 0.000 0.500

***

[3]
Material: LiSbHRh2
Method: DFT, GGA-PBE
State: relaxed

Cell lengths 4.881, 4.881, 5.277 Å; angles 90.00, 90.00, 90.00 degrees
Fractional positions:
Li1 0.000 0.000 0.000
Sb1 0.000 0.000 0.500
H1 0.500 0.500 0.000
Rh1 0.000 0.500 0.500
Rh2 0.500 0.000 0.500

***

[4]
Material: Li2SbHRh
Method: DFT, GGA-PBE
State: relaxed

Cell lengths 5.362, 5.362, 4.900 Å; angles 90.00, 90.00, 90.00 degrees
Fractional positions:
Li1 0.000 0.500 0.000
Li2 0.500 0.000 0.000
Sb1 0.000 0.000 0.000
H1 0.500 0.500 0.500
Rh1 0.000 0.000 0.500

***

[5]
Material: LiSc2HRh
Method: DFT, GGA-PBE
State: relaxed

Cell lengths 4.575, 4.575, 3.368 Å; angles 90.00, 90.00, 90.00 degrees
Fractional positions:
Li1 0.000 0.000 0.000
Sc1 0.000 0.500 0.500
Sc2 0.500 0.000 0.500
H1 0.000 0.000 0.500
Rh1 0.500 0.500 0.000

***

[6]
Material: LiSc2HRh
Method: DFT, GGA-PBE
State: relaxed

Cell lengths 4.565, 4.565, 3.594 Å; angles 90.00, 90.00, 90.00 degrees
Fractional positions:
Li1 0.000 0.000 0.000
Sc1 0.000 0.500 0.500
Sc2 0.500 0.000 0.500
H1 0.500 0.500 0.500
Rh1 0.500 0.500 0.000

***

[7]
Material: LiScHRh2
Method: DFT, GGA-PBE
State: relaxed

Cell lengths 4.078, 4.078, 3.653 Å; angles 90.00, 90.00, 90.00 degrees
Fractional positions:
Li1 0.000 0.000 0.000
Sc1 0.500 0.500 0.000
H1 0.000 0.000 0.500
Rh1 0.000 0.500 0.500
Rh2 0.500 0.000 0.500

***

[8]
Material: LiScHRh2
Method: DFT, GGA-PBE
State: relaxed

Cell lengths 3.979, 3.979, 3.980 Å; angles 90.00, 90.00, 90.00 degrees
Fractional positions:
Li1 0.000 0.000 0.000
Sc1 0.500 0.500 0.000
H1 0.500 0.500 0.500
Rh1 0.000 0.500 0.500
Rh2 0.500 0.000 0.500

***

[9]
Material: Li2HRhSe
Method: DFT, GGA-PBE
State: relaxed

Cell lengths 3.959, 3.959, 3.683 Å; angles 90.00, 90.00, 90.00 degrees
Fractional positions:
Li1 0.000 0.500 0.000
Li2 0.500 0.000 0.000
H1 0.000 0.000 0.000
Rh1 0.000 0.000 0.500
Se1 0.500 0.500 0.500

***

[10]
Material: LiSm2H12Rh3
Method: DFT, GGA-PBE
State: relaxed

Cell lengths 5.883, 5.883, 5.883 Å; angles 64.41, 64.41, 64.41 degrees
Fractional positions:
Li1 0.000 0.000 0.000
Sm1 0.379 0.379 0.379
Sm2 0.621 0.621 0.621
H1 0.118 0.118 0.623
H2 0.118 0.623 0.118
H3 0.144 0.684 0.684
H4 0.316 0.316 0.856
H5 0.316 0.856 0.316
H6 0.377 0.882 0.882
H7 0.623 0.118 0.118
H8 0.684 0.144 0.684
H9 0.684 0.684 0.144
H10 0.856 0.316 0.316
H11 0.882 0.377 0.882
H12 0.882 0.882 0.377
Rh1 0.000 0.000 0.500
Rh2 0.000 0.500 0.000
Rh3 0.500 0.000 0.000

***

[11]
Material: LiSnH2Rh
Method: DFT, GGA-PBE
State: relaxed

Cell lengths 3.617, 3.617, 4.695 Å; angles 90.00, 90.00, 90.00 degrees
Fractional positions:
Li1 0.000 0.000 0.000
Sn1 0.500 0.500 0.000
H1 0.000 0.500 0.500
H2 0.500 0.000 0.500
Rh1 0.000 0.000 0.500

***

[12]
Material: LiSnH2Rh
Method: DFT, GGA-PBE
State: relaxed

Cell lengths 3.657, 3.657, 5.158 Å; angles 90.00, 90.00, 90.00 degrees
Fractional positions:
Li1 0.000 0.000 0.000
Sn1 0.500 0.500 0.500
H1 0.000 0.500 0.000
H2 0.500 0.000 0.000
Rh1 0.000 0.000 0.500

***

[13]
Material: SrLi2H6Rh
Method: DFT, GGA-PBE
State: relaxed

Cell lengths 4.748, 4.748, 6.343 Å; angles 90.00, 90.00, 120.00 degrees
Fractional positions:
Sr1 0.000 0.000 0.000
Li1 0.333 0.667 0.435
Li2 0.667 0.333 0.565
H1 0.163 0.326 0.657
H2 0.163 0.837 0.657
H3 0.326 0.163 0.343
H4 0.674 0.837 0.657
H5 0.837 0.163 0.343
H6 0.837 0.674 0.343
Rh1 0.000 0.000 0.500

***

[14]
Material: Sr4LiH12Rh3
Method: DFT, GGA-PBE
State: relaxed

Cell lengths 6.581, 6.581, 6.581 Å; angles 109.47, 109.47, 109.47 degrees
Fractional positions:
Sr1 0.000 0.000 0.500
Sr2 0.000 0.500 0.000
Sr3 0.500 0.000 0.000
Sr4 0.500 0.500 0.500
Li1 0.000 0.000 0.000
H1 0.000 0.267 0.267
H2 0.000 0.733 0.733
H3 0.250 0.500 0.750
H4 0.250 0.750 0.500
H5 0.267 0.000 0.267
H6 0.267 0.267 0.000
H7 0.500 0.250 0.750
H8 0.500 0.750 0.250
H9 0.733 0.000 0.733
H10 0.733 0.733 0.000
H11 0.750 0.250 0.500
H12 0.750 0.500 0.250
Rh1 0.000 0.500 0.500
Rh2 0.500 0.000 0.500
Rh3 0.500 0.500 0.000

***

[15]
Material: SrLi2H8Rh
Method: DFT, GGA-PBE
State: relaxed

Cell lengths 4.462, 4.462, 6.588 Å; angles 90.00, 90.00, 120.00 degrees
Fractional positions:
Sr1 0.000 0.000 0.000
Li1 0.333 0.667 0.380
Li2 0.667 0.333 0.620
H1 0.172 0.343 0.652
H2 0.172 0.828 0.652
H3 0.333 0.667 0.062
H4 0.343 0.172 0.348
H5 0.657 0.828 0.652
H6 0.667 0.333 0.938
H7 0.828 0.172 0.348
H8 0.828 0.657 0.348
Rh1 0.000 0.000 0.500

***

[16]
Material: Sr3LiH6Rh2
Method: DFT, GGA-PBE
State: relaxed

Cell lengths 5.409, 5.409, 6.468 Å; angles 90.00, 90.00, 120.00 degrees
Fractional positions:
Sr1 0.000 0.000 0.000
Sr2 0.333 0.667 0.677
Sr3 0.667 0.333 0.323
Li1 0.000 0.000 0.500
H1 0.176 0.351 0.315
H2 0.176 0.824 0.315
H3 0.351 0.176 0.685
H4 0.649 0.824 0.315
H5 0.824 0.176 0.685
H6 0.824 0.649 0.685
Rh1 0.333 0.667 0.170
Rh2 0.667 0.333 0.830

***

[17]
Material: SrLiH4Rh
Method: DFT, GGA-PBE
State: relaxed

Cell lengths 6.950, 6.950, 5.213 Å; angles 90.00, 90.00, 137.53 degrees
Fractional positions:
Sr1 0.105 0.895 0.750
Sr2 0.895 0.105 0.250
Li1 0.347 0.653 0.750
Li2 0.653 0.347 0.250
H1 0.000 0.500 0.000
H2 0.000 0.500 0.500
H3 0.107 0.893 0.250
H4 0.376 0.624 0.250
H5 0.500 0.000 0.000
H6 0.500 0.000 0.500
H7 0.624 0.376 0.750
H8 0.893 0.107 0.750
Rh1 0.244 0.756 0.250
Rh2 0.756 0.244 0.750

***

[18]
Material: LiTa2HRh
Method: DFT, GGA-PBE
State: relaxed

Cell lengths 4.082, 4.082, 3.876 Å; angles 90.00, 90.00, 90.00 degrees
Fractional positions:
Li1 0.000 0.000 0.000
Ta1 0.000 0.500 0.500
Ta2 0.500 0.000 0.500
H1 0.000 0.000 0.500
Rh1 0.500 0.500 0.000

***

[19]
Material: Li2TeHRh
Method: DFT, GGA-PBE
State: relaxed

Cell lengths 4.092, 4.092, 3.855 Å; angles 90.00, 90.00, 90.00 degrees
Fractional positions:
Li1 0.000 0.500 0.000
Li2 0.500 0.000 0.000
Te1 0.000 0.000 0.500
H1 0.500 0.500 0.000
Rh1 0.500 0.500 0.500

***

[20]
Material: LiThH8Rh2
Method: DFT, GGA-PBE
State: relaxed

Cell lengths 6.067, 6.067, 6.067 Å; angles 45.53, 45.53, 45.53 degrees
Fractional positions:
Li1 0.000 0.000 0.000
Th1 0.500 0.500 0.500
H1 0.100 0.376 0.665
H2 0.188 0.188 0.188
H3 0.335 0.900 0.624
H4 0.376 0.665 0.100
H5 0.624 0.335 0.900
H6 0.665 0.100 0.376
H7 0.812 0.812 0.812
H8 0.900 0.624 0.335
Rh1 0.296 0.296 0.296
Rh2 0.704 0.704 0.704

***

Number 1: energy -5.287 eV/atom, N(E_F) 1.6 states/eV/f.u.. Number 2: energy -4.273 eV/atom, N(E_F) 4.2 states/eV/f.u.. Number 3: energy -3.729 eV/atom, N(E_F) 4.4 states/eV/f.u.. Number 4: energy -3.079 eV/atom, N(E_F) 3.3 states/eV/f.u.. Number 5: energy -5.604 eV/atom, N(E_F) 2.4 states/eV/f.u.. Number 6: energy -5.488 eV/atom, N(E_F) 2.8 states/eV/f.u.. Number 7: energy -5.829 eV/atom, N(E_F) 2.6 states/eV/f.u.. Number 8: energy -5.707 eV/atom, N(E_F) 3.6 states/eV/f.u.. Number 9: energy -4.184 eV/atom, N(E_F) 1.3 states/eV/f.u.. Number 10: energy -4.419 eV/atom, N(E_F) 6.2 states/eV/f.u.. Number 11: energy -3.820 eV/atom, N(E_F) 1.5 states/eV/f.u.. Number 12: energy -3.586 eV/atom, N(E_F) 1.8 states/eV/f.u.. Number 13: energy -3.680 eV/atom, N(E_F) 1.8 states/eV/f.u.. Number 14: energy -4.095 eV/atom, N(E_F) 4.2 states/eV/f.u.. Number 15: energy -3.562 eV/atom, N(E_F) 2.5 states/eV/f.u.. Number 16: energy -3.923 eV/atom, N(E_F) 4.3 states/eV/f.u.. Number 17: energy -3.911 eV/atom, N(E_F) 2.4 states/eV/f.u.. Number 18: energy -7.355 eV/atom, N(E_F) 3.0 states/eV/f.u.. Number 19: energy -4.063 eV/atom, N(E_F) 1.6 states/eV/f.u.. Number 20: energy -4.518 eV/atom, N(E_F) 2.5 states/eV/f.u..